No. 1
# PBE RbPuBe2Cl8, optimized geometry
# Formation energy without anion corrections (kcal/mol of atoms): -38.3
# Mass density (g/cm3): 3.1
# E_tot (eV for the cell shown): -172.41
data_RbPuBe2Cl8
_chemical_formula_sum 'Rb3 Pu3 Be6 Cl24'
_symmetry_space_group_name_H-M 'R -3'
_symmetry_Int_Tables_number 148
_symmetry_space_group_name_Hall '-R 3'
_cell_length_a 6.2372
_cell_length_b 6.2372
_cell_length_c 30.2469
_cell_angle_alpha 90.00
_cell_angle_beta 90.00
_cell_angle_gamma 120.00
loop_
_atom_site_label
_atom_site_type_symbol
_atom_site_fract_x
_atom_site_fract_y
_atom_site_fract_z
Rb1 Rb 0.0000 0.0000 0.0000
Pu1 Pu 0.0000 0.0000 0.5000
Be1 Be 0.0000 0.0000 0.2467
Cl1 Cl 0.0000 0.0000 0.3111
Cl2 Cl 0.0032 0.3122 0.7776



No. 2
# PBE RbBeCl3, optimized geometry
# Formation energy without anion corrections (kcal/mol of atoms): -39.1
# Mass density (g/cm3): 2.4
# E_tot (eV for the cell shown): -37.42
# E above lowest polymorph (meV/atom): 0
data_RbBeCl3
_chemical_formula_sum 'Rb2 Be2 Cl6'
_symmetry_space_group_name_H-M 'P -1'
_symmetry_Int_Tables_number 2
_cell_length_a 5.539
_cell_length_b 7.278
_cell_length_c 7.282
_cell_angle_alpha 75.11
_cell_angle_beta 86.17
_cell_angle_gamma 86.13
loop_
_symmetry_equiv_pos_as_xyz
'x,y,z'
'-x,-y,-z'
loop_
_atom_site_label
_atom_site_type_symbol
_atom_site_fract_x
_atom_site_fract_y
_atom_site_fract_z
Rb1 Rb 0.238 0.323 0.324
Be1 Be 0.500 0.156 0.845
Cl1 Cl 0.282 0.388 0.828
Cl2 Cl 0.282 0.827 0.387
Cl3 Cl 0.310 0.908 0.907



No. 3
# PBE RbBeCl3, optimized geometry
# Formation energy without anion corrections (kcal/mol of atoms): -33.2
# Mass density (g/cm3): 2.6
# E_tot (eV for the cell shown): -69.70
# E above lowest polymorph (meV/atom): 257
data_RbBeCl3
_chemical_formula_sum 'Rb4 Be4 Cl12'
_symmetry_space_group_name_H-M 'I 4/m m m'
_symmetry_Int_Tables_number 139
_symmetry_space_group_name_Hall '-I 4 2'
_cell_length_a 7.232
_cell_length_b 7.232
_cell_length_c 9.937
_cell_angle_alpha 90.00
_cell_angle_beta 90.00
_cell_angle_gamma 90.00
loop_
_atom_site_label
_atom_site_type_symbol
_atom_site_fract_x
_atom_site_fract_y
_atom_site_fract_z
Rb1 Rb 0.000 0.500 0.250
Be1 Be 0.000 0.000 0.000
Be2 Be 0.000 0.000 0.500
Cl1 Cl 0.000 0.000 0.187
Cl2 Cl 0.211 0.211 0.500



No. 4
# PBE Rb3Be5Cl12, optimized geometry
# Formation energy without anion corrections (kcal/mol of atoms): -28.6
# Mass density (g/cm3): 2.6
# E_tot (eV for the cell shown): -548.08
data_Rb3Be5Cl12
_chemical_formula_sum 'Rb24 Be40 Cl96'
_symmetry_space_group_name_H-M 'I a -3 d'
_symmetry_Int_Tables_number 230
_symmetry_space_group_name_Hall '-I 4bd 2c 3'
_cell_length_a 15.566
_cell_length_b 15.566
_cell_length_c 15.566
_cell_angle_alpha 90.00
_cell_angle_beta 90.00
_cell_angle_gamma 90.00
loop_
_atom_site_label
_atom_site_type_symbol
_atom_site_fract_x
_atom_site_fract_y
_atom_site_fract_z
Rb1 Rb 0.000 0.250 0.125
Be1 Be 0.000 0.000 0.000
Be2 Be 0.000 0.250 0.375
Cl1 Cl 0.042 0.150 0.954



No. 5
# PBE Rb4BeCl6, optimized geometry
# Formation energy without anion corrections (kcal/mol of atoms): -41.7
# Mass density (g/cm3): 2.4
# E_tot (eV for the cell shown): -154.26
data_Rb4BeCl6
_chemical_formula_sum 'Rb16 Be4 Cl24'
_symmetry_space_group_name_H-M 'C 1 c 1'
_symmetry_Int_Tables_number 9
_cell_length_a 14.647
_cell_length_b 6.750
_cell_length_c 16.685
_cell_angle_alpha 90.00
_cell_angle_beta 108.41
_cell_angle_gamma 90.00
loop_
_symmetry_equiv_pos_as_xyz
'x,y,z'
'x,-y,z+1/2'
'x+1/2,y+1/2,z'
'x+1/2,-y+1/2,z+1/2'
loop_
_atom_site_label
_atom_site_type_symbol
_atom_site_fract_x
_atom_site_fract_y
_atom_site_fract_z
Rb1 Rb 0.000 0.248 0.000
Rb2 Rb 0.147 0.252 0.379
Rb3 Rb 0.295 0.249 0.809
Rb4 Rb 0.336 0.248 0.128
Be1 Be 0.090 0.253 0.613
Cl1 Cl 0.066 0.491 0.677
Cl2 Cl 0.070 0.012 0.677
Cl3 Cl 0.183 0.247 0.939
Cl4 Cl 0.226 0.257 0.602
Cl5 Cl 0.336 0.251 0.321
Cl6 Cl 0.490 0.248 0.993



No. 6
# PBE RbBeCl3, optimized geometry
# Formation energy without anion corrections (kcal/mol of atoms): -30.8
# Mass density (g/cm3): 3.1
# E_tot (eV for the cell shown): -16.92
# E above lowest polymorph (meV/atom): 358
data_RbBeCl3
_chemical_formula_sum 'Rb1 Be1 Cl3'
_symmetry_space_group_name_H-M 'P m -3 m'
_symmetry_Int_Tables_number 221
_symmetry_space_group_name_Hall '-P 4 2 3'
_cell_length_a 4.746
_cell_length_b 4.746
_cell_length_c 4.746
_cell_angle_alpha 90.00
_cell_angle_beta 90.00
_cell_angle_gamma 90.00
loop_
_atom_site_label
_atom_site_type_symbol
_atom_site_fract_x
_atom_site_fract_y
_atom_site_fract_z
Rb1 Rb 0.000 0.000 0.000
Be1 Be 0.500 0.500 0.500
Cl1 Cl 0.000 0.500 0.500